Material: LiSmThMo
Method: DFT, PBE-GGA
State: relaxed

a = 7.1982 Å, b = 7.1982 Å, c = 7.1982 Å
α = 90.00°, β = 90.00°, γ = 90.00°
Space group F-43m (No. 216)
Asymmetric unit:
Li  0.0000  0.0000  0.0000
Sm  0.2500  0.2500  0.2500
Th  0.2500  0.2500  0.7500
Mo  0.0000  0.0000  0.5000

Summary:
Crystal system = cubic
Energy of formation = 69 kJ/mol of formula units
Total DFT energy (no corrections) = -6.041 eV/atom
Mass density = 8.64 Mg/m³